A plane-wave DFT calculation with GGA-PBE was carried out for a geometry-optimized ZrAgPb2 structure. Values from VASP.

Geometry as Quantum ESPRESSO input:
```
&SYSTEM
  ibrav = 0, nat = 4, ntyp = 3
/
ATOMIC_SPECIES
Zr 91.22 Zr.upf
Pb 207.20 Pb.upf
Ag 107.87 Ag.upf
CELL_PARAMETERS angstrom
-1.673 1.098 4.970
4.697 -1.678 1.956
1.223 3.104 -0.274
ATOMIC_POSITIONS crystal
Zr 0.500 0.000 0.500
Pb 0.000 0.000 0.000
Pb 0.500 0.500 0.000
Ag 0.000 0.500 0.500
```

Output
As for the theoretical density: 10.60 g/cm3. Its space-group type is No. 123. Its total energy is -4.71 eV per atom.